AcTb2PuSb4 after structural relaxation. Source: Alexandria, functional GGA-PBE.

Lattice parameters (Å, degrees): 7.8188 4.5198 7.8265 90.00 109.45 90.00
With the nearest neighbours (Å) after each atom.
Space group P2/m (No. 10)
Inequivalent atoms, fractional coordinates:
Ac1 0.0000 0.0000 0.0000 x1  6 Sb 3.29
Tb1 0.0000 0.5000 0.5000 x1  6 Sb 3.19
Tb2 0.5000 0.0000 0.5000 x1  6 Sb 3.10
Pu1 0.5000 0.5000 0.0000 x1  6 Sb 3.20
Sb1 0.2569 0.0000 0.7417 x2  3 Tb 3.10-3.19, 2 Pu 3.20, 1 Ac 3.29
Sb2 0.2648 0.5000 0.2659 x2  3 Tb 3.10-3.19, 1 Pu 3.20, 2 Ac 3.29

Results
The total energy comes out at -6.515 eV per atom. The calculation puts the formation energy from raw total energies at -7.93 eV per formula unit. The volume comes out at 260.8 Å³ per cell.



AcPuTh2Sb4 after structural relaxation. Source: Alexandria, functional GGA-PBE.

Lattice parameters (Å, degrees): 7.8969 4.5695 7.9427 90.00 109.47 90.00
With the nearest neighbours (Å) after each atom.
Space group P2/m (No. 10)
Inequivalent atoms, fractional coordinates:
Ac1 0.0000 0.0000 0.0000 x1  6 Sb 3.30
Pu1 0.5000 0.5000 0.0000 x1  6 Sb 3.23
Th1 0.0000 0.5000 0.5000 x1  6 Sb 3.23-3.24
Th2 0.5000 0.0000 0.5000 x1  6 Sb 3.16-3.17
Sb1 0.2561 0.0000 0.7457 x2  3 Th 3.17-3.24, 2 Pu 3.23, 1 Ac 3.30
Sb2 0.2609 0.5000 0.2608 x2  3 Th 3.16-3.23, 1 Pu 3.23, 2 Ac 3.30

Results
The total energy comes out at -7.142 eV per atom. The calculation puts the formation energy from raw total energies at -7.36 eV per formula unit. The volume comes out at 270.2 Å³ per cell.



AcPuTlSb after structural relaxation. Source: Alexandria, functional GGA-PBE.

Lattice parameters (Å, degrees): 7.9393 7.9393 7.9393 90.00 90.00 90.00
With the nearest neighbours (Å) after each atom.
Space group F-43m (No. 216)
Inequivalent atoms, fractional coordinates:
Ac1 0.0000 0.0000 0.0000 x4  4 Tl 3.44, 4 Sb 3.44
Pu1 0.0000 0.0000 0.5000 x4  4 Tl 3.44, 4 Sb 3.44
Tl1 0.2500 0.2500 0.2500 x4  4 Ac 3.44, 4 Pu 3.44
Sb1 0.2500 0.2500 0.7500 x4  4 Ac 3.44, 4 Pu 3.44

Results
The total energy comes out at -6.591 eV per atom. The calculation puts the formation energy from raw total energies at -1.43 eV per formula unit. The volume comes out at 500.4 Å³ per cell.



AcPuZnSb after structural relaxation. Source: Alexandria, functional GGA-PBE.

Lattice parameters (Å, degrees): 7.7427 7.7427 7.7427 90.00 90.00 90.00
With the nearest neighbours (Å) after each atom.
Space group F-43m (No. 216)
Inequivalent atoms, fractional coordinates:
Ac1 0.0000 0.0000 0.0000 x4  4 Zn 3.35, 4 Sb 3.35
Pu1 0.0000 0.0000 0.5000 x4  4 Sb 3.35, 4 Zn 3.35
Zn1 0.2500 0.2500 0.7500 x4  4 Pu 3.35, 4 Ac 3.35
Sb1 0.2500 0.2500 0.2500 x4  4 Ac 3.35, 4 Pu 3.35

Results
The total energy comes out at -6.323 eV per atom. The calculation puts the formation energy from raw total energies at -1.46 eV per formula unit. The volume comes out at 464.2 Å³ per cell.



AcPuScSi2 after structural relaxation. Source: Alexandria, functional GGA-PBE.

Lattice parameters (Å, degrees): 4.5102 4.5102 12.2105 90.00 90.00 90.00
With the nearest neighbours (Å) after each atom.
Space group I-4m2 (No. 119)
Inequivalent atoms, fractional coordinates:
Ac1 0.0000 0.0000 0.0000 x2  8 Si 3.42, 4 Pu 3.80, 4 Sc 3.80
Pu1 0.0000 0.5000 0.2500 x2  4 Si 2.90, 4 Sc 3.19
Sc1 0.0000 0.5000 0.7500 x2  4 Si 2.90, 4 Pu 3.19
Si1 0.0000 0.0000 0.3992 x4  1 Si 2.46

Results
The total energy comes out at -7.577 eV per atom. The calculation puts the formation energy from raw total energies at -2.27 eV per formula unit. The volume comes out at 248.4 Å³ per cell.



AcPuScTl after structural relaxation. Source: Alexandria, functional GGA-PBE.

Lattice parameters (Å, degrees): 7.7316 7.7316 7.7316 90.00 90.00 90.00
With the nearest neighbours (Å) after each atom.
Space group F-43m (No. 216)
Inequivalent atoms, fractional coordinates:
Ac1 0.0000 0.0000 0.0000 x4  4 Pu 3.35, 4 Sc 3.35
Pu1 0.2500 0.2500 0.2500 x4  4 Tl 3.35, 4 Ac 3.35
Sc1 0.2500 0.2500 0.7500 x4  4 Ac 3.35, 4 Tl 3.35
Tl1 0.0000 0.0000 0.5000 x4  4 Sc 3.35, 4 Pu 3.35

Results
The total energy comes out at -6.623 eV per atom. The volume comes out at 462.2 Å³ per cell.



AcPuSe2 after structural relaxation. Source: Alexandria, functional GGA-PBE.

Lattice parameters (Å, degrees): 4.1684 4.1684 22.9265 90.00 90.00 120.00
With the nearest neighbours (Å) after each atom.
Space group R3m (No. 160, hexagonal axes)
Inequivalent atoms, fractional coordinates:
Ac1 0.0000 0.0000 0.0000 x3  6 Se 3.15-3.24
Pu1 0.0000 0.0000 0.8269 x3  6 Se 2.91-3.00
Se1 0.0000 0.0000 0.2386 x3  3 Pu 3.00, 3 Ac 3.24
Se2 0.0000 0.0000 0.4222 x3  3 Pu 2.91, 3 Ac 3.15

Results
The total energy comes out at -7.963 eV per atom. The calculation puts the formation energy from raw total energies at -6.44 eV per formula unit. For the energy above the most stable polymorph in this dataset, the calculation gives 80 meV per atom. The volume comes out at 345.0 Å³ per cell.



Ac6PuSe8 after structural relaxation. Source: Alexandria, functional GGA-PBE.

Lattice parameters (Å, degrees): 12.5559 12.5559 12.5559 90.00 90.00 90.00
With the nearest neighbours (Å) after each atom.
Space group Fm-3m (No. 225)
Inequivalent atoms, fractional coordinates:
Ac1 0.0000 0.2500 0.2500 x24  6 Se 3.14
Pu1 0.0000 0.0000 0.0000 x4  6 Se 3.02
Se1 0.0000 0.0000 0.2408 x24  1 Pu 3.02, 4 Ac 3.14
Se2 0.2500 0.2500 0.2500 x8  6 Ac 3.14

Results
The total energy comes out at -6.307 eV per atom. The calculation puts the formation energy from raw total energies at -27.75 eV per formula unit. The volume comes out at 1979.5 Å³ per cell.



Ac4PuSe6 after structural relaxation. Source: Alexandria, functional GGA-PBE.

Lattice parameters (Å, degrees): 12.3298 12.3298 15.0002 90.00 90.00 120.00
With the nearest neighbours (Å) after each atom.
Space group R-3c (No. 167, hexagonal axes)
Inequivalent atoms, fractional coordinates:
Ac1 0.0000 0.0000 0.2500 x6  6 Se 3.12
Ac2 0.0000 0.3819 0.2500 x18  8 Se 3.17-3.40
Pu1 0.0000 0.0000 0.0000 x6  6 Se 2.89
Se1 0.0285 0.2028 0.3875 x36  1 Pu 2.89, 2 Ac 3.12-3.17

Results
The total energy comes out at -6.471 eV per atom. The calculation puts the formation energy from raw total energies at -19.51 eV per formula unit. The volume comes out at 1974.9 Å³ per cell.



AcPu5Se6 after structural relaxation. Source: Alexandria, functional GGA-PBE.

Lattice parameters (Å, degrees): 7.2951 12.6270 7.2957 90.00 109.52 90.00
With the nearest neighbours (Å) after each atom.
Space group C2/m (No. 12)
Inequivalent atoms, fractional coordinates:
Ac1 0.0000 0.0000 0.0000 x2  6 Se 3.07-3.09
Pu1 0.0000 0.1625 0.5000 x4  6 Se 2.90-2.99
Pu2 0.0000 0.3325 0.0000 x4  6 Se 2.96-2.98
Pu3 0.0000 0.5000 0.5000 x2  6 Se 2.89-2.99
Se1 0.2394 0.5000 0.2539 x4  5 Pu 2.89-2.97, 1 Ac 3.07
Se2 0.2415 0.3264 0.7418 x8  5 Pu 2.90-2.99, 1 Ac 3.09

Results
The total energy comes out at -9.599 eV per atom. The calculation puts the formation energy from raw total energies at -18.51 eV per formula unit. The volume comes out at 633.4 Å³ per cell.



Ac2PuSe after structural relaxation. Source: Alexandria, functional GGA-PBE.

Lattice parameters (Å, degrees): 3.9612 3.9612 33.9275 90.00 90.00 120.00
With the nearest neighbours (Å) after each atom.
Space group R-3m (No. 166, hexagonal axes)
Inequivalent atoms, fractional coordinates:
Ac1 0.0000 0.0000 0.1047 x6  3 Se 3.11
Pu1 0.0000 0.0000 0.0000 x3  2 Ac 3.55, 6 Pu 3.96
Se1 0.0000 0.0000 0.5000 x3  6 Ac 3.11

Results
The total energy comes out at -6.864 eV per atom. The calculation puts the formation energy from raw total energies at -1.42 eV per formula unit. The volume comes out at 461.0 Å³ per cell.



Ac2PuSe3 after structural relaxation. Source: Alexandria, functional GGA-PBE.

Lattice parameters (Å, degrees): 7.5525 13.0878 7.6031 90.00 109.38 90.00
With the nearest neighbours (Å) after each atom.
Space group C2/m (No. 12)
Inequivalent atoms, fractional coordinates:
Ac1 0.0000 0.0000 0.0000 x2  6 Se 3.10-3.12
Ac2 0.0000 0.1625 0.5000 x4  6 Se 3.11-3.19
Ac3 0.0000 0.5000 0.5000 x2  6 Se 3.09-3.18
Pu1 0.0000 0.3324 0.0000 x4  6 Se 2.99-3.00
Se1 0.2312 0.5000 0.2320 x4  2 Pu 2.99, 4 Ac 3.09-3.17
Se2 0.2478 0.3274 0.7625 x8  2 Pu 3.00, 4 Ac 3.11-3.19

Results
The total energy comes out at -7.241 eV per atom. The calculation puts the formation energy from raw total energies at -10.45 eV per formula unit. For the energy above the most stable polymorph in this dataset, the calculation gives 0 meV per atom. The volume comes out at 708.9 Å³ per cell.